The following is a DFT calculation (PBE) of an optimized crystal structure of Li2LaNiH.

```
data_Li2LaNiH
_cell_length_a 3.9070
_cell_length_b 3.9070
_cell_length_c 5.1893
_cell_angle_alpha 90.00
_cell_angle_beta 90.00
_cell_angle_gamma 90.00
_symmetry_space_group_name_H-M 'P 4/m m m'
_symmetry_Int_Tables_number 123
_symmetry_space_group_name_Hall '-P 4 2'
loop_
_atom_site_label
_atom_site_type_symbol
_atom_site_fract_x
_atom_site_fract_y
_atom_site_fract_z
Li1 Li 0.0000 0.5000 0.0000
La1 La 0.0000 0.0000 0.5000
Ni1 Ni 0.5000 0.5000 0.5000
H1 H 0.0000 0.0000 0.0000
```

Calculated values
E above lowest polymorph   0.00 kcal/mol of atoms
Total moment   0.00 Bohr magnetons per cell

---

The following is a DFT calculation (PBE) of an optimized crystal structure of LiLaNi2H.

```
data_LiLaNi2H
_cell_length_a 3.9383
_cell_length_b 3.9383
_cell_length_c 5.4664
_cell_angle_alpha 90.00
_cell_angle_beta 90.00
_cell_angle_gamma 90.00
_symmetry_space_group_name_H-M 'P 4/m m m'
_symmetry_Int_Tables_number 123
_symmetry_space_group_name_Hall '-P 4 2'
loop_
_atom_site_label
_atom_site_type_symbol
_atom_site_fract_x
_atom_site_fract_y
_atom_site_fract_z
Li1 Li 0.0000 0.0000 0.0000
La1 La 0.0000 0.0000 0.5000
Ni1 Ni 0.0000 0.5000 0.0000
H1 H 0.5000 0.5000 0.5000
```

Calculated values
Raw total energy   -3.687 eV per atom
Total moment   0.00 Bohr magnetons per cell

---

The following is a DFT calculation (PBE) of an optimized crystal structure of LiLaNi2H8.

```
data_LiLaNi2H8
_cell_length_a 4.3909
_cell_length_b 4.3909
_cell_length_c 18.6222
_cell_angle_alpha 90.00
_cell_angle_beta 90.00
_cell_angle_gamma 120.00
_symmetry_space_group_name_H-M 'R -3'
_symmetry_Int_Tables_number 148
_symmetry_space_group_name_Hall '-R 3'
loop_
_atom_site_label
_atom_site_type_symbol
_atom_site_fract_x
_atom_site_fract_y
_atom_site_fract_z
Li1 Li 0.0000 0.0000 0.0000
La1 La 0.0000 0.0000 0.5000
Ni1 Ni 0.0000 0.0000 0.3330
H1 H 0.0000 0.0000 0.1524
H2 H 0.0030 0.6146 0.0484
```

Calculated values
Raw total energy   -4.079 eV per atom
Total moment   0.00 Bohr magnetons per cell